1.
An optimized crystal structure of MgScCu2, computed with GGA-PBE.

Values from the calculation:
- Volume: 17.57 Å³ per atom
- Energy relative to the elements: 0.0737 eV per atom
- Calculated total energy: -3.9559 eV/atom

extended XYZ file:
```
4
Lattice="-0.503 -4.232 7.666 2.353 -4.989 6.819 1.832 -2.323 8.257" Properties=species:S:1:pos:R:3 pbc="T T T"
Sc 2.761 -8.658 17.057
Cu 1.839 -5.766 11.361
Cu 0.002 -0.005 0.010
Mg 0.920 -2.886 5.686
```

=====

2.
An optimized crystal structure of KVSeN2, computed with GGA-PBE.

Values from the calculation:
- Volume: 20.34 Å³ per atom
- Formation energy from raw total energies: 14.0 eV per formula unit
- Energy above the lowest structure with this stoichiometry: 2608 meV per atom
- Calculated total energy: -3.2726 eV/atom

extended XYZ file:
```
5
Lattice="-2.545 -2.714 1.918 -1.029 -1.653 -3.706 4.381 -3.777 0.468" Properties=species:S:1:pos:R:3 pbc="T T T"
V 0.403 -4.072 -0.660
K 0.000 0.000 0.000
Se 2.190 -1.888 0.234
N -1.273 -1.357 0.959
N -0.515 -0.826 -1.853
```

=====

3.
An optimized crystal structure of Ac2ThHg, computed with GGA-PBE.

Values from the calculation:
- Volume: 35.44 Å³ per atom
- Energy relative to the elements: -0.1637 eV per atom
- Energy above the lowest structure with this stoichiometry: 0 meV per atom
- Calculated total energy: -4.1483 eV/atom

extended XYZ file:
```
4
Lattice="3.864 0.000 0.000 0.000 3.864 0.000 0.000 0.000 9.492" Properties=species:S:1:pos:R:3 pbc="T T T"
Hg 1.932 1.932 0.000
Ac 0.000 0.000 2.187
Ac 0.000 0.000 7.305
Th 1.932 1.932 4.746
```

=====

4.
An optimized crystal structure of NbOsPb3, computed with GGA-PBE.

Values from the calculation:
- Volume: 32.38 Å³ per atom
- Energy relative to the elements: 1.6292 eV per atom
- Energy above the lowest structure with this stoichiometry: 379 meV per atom
- Calculated total energy: -4.8557 eV/atom

extended XYZ file:
```
5
Lattice="-4.959 -1.460 1.728 2.221 -3.938 3.044 0.433 3.474 4.178" Properties=species:S:1:pos:R:3 pbc="T T T"
Nb 0.000 0.000 0.000
Os -1.152 -0.962 4.475
Pb 0.217 1.737 2.089
Pb 1.110 -1.969 1.522
Pb -2.479 -0.730 0.864
```

=====

5.
An optimized crystal structure of Ce6HfBi10, computed with GGA-PBE.

Values from the calculation:
- Volume: 30.17 Å³ per atom
- Energy relative to the elements: -0.6351 eV per atom
- Calculated total energy: -5.5979 eV/atom

extended XYZ file:
```
17
Lattice="-0.258 -6.292 -1.519 9.517 -0.173 -0.898 -4.039 -1.877 8.460" Properties=species:S:1:pos:R:3 pbc="T T T"
Ce 3.309 -2.845 4.275
Bi 7.014 -1.631 -1.030
Ce 5.668 -4.816 -1.690
Bi 0.351 -4.455 4.581
Bi 0.480 -1.309 5.341
Ce -2.680 -5.866 4.073
Bi 2.245 -4.834 -1.387
Bi 4.870 -3.887 1.462
Ce -1.616 -2.304 2.868
Ce 1.912 -5.497 1.768
Bi -1.232 -5.271 1.014
Hf -0.129 -3.146 -0.760
Bi -3.064 -2.898 5.927
Ce 3.592 -1.649 -0.727
Bi 3.877 -6.314 4.466
Bi 4.999 -0.741 2.222
Bi 1.344 -2.028 1.577
```

=====

6.
An optimized crystal structure of LiTaFe2, computed with GGA-PBE.

Values from the calculation:
- Volume: 13.60 Å³ per atom
- Energy relative to the elements: 0.2911 eV per atom
- Calculated total energy: -7.3818 eV/atom

extended XYZ file:
```
4
Lattice="-1.304 1.042 -2.452 -2.627 -0.049 1.376 0.924 5.786 1.967" Properties=species:S:1:pos:R:3 pbc="T T T"
Fe 0.024 0.148 0.050
Fe -1.745 1.879 -0.068
Ta -1.251 4.974 0.984
Li 0.426 2.671 0.908
```